[1]
{"formula": "Pm9Dy11Th4", "functional": "PBE", "state": "relaxed", "spacegroup": "Cmmm", "e_tot_ev_per_cell": -121.13, "ef_ev_per_fu": 1.93, "lattice_angstrom": [[3.631, 0.000, 0.000], [0.000, 14.182, -6.592], [0.000, -0.488, 15.631]], "species": ["Pm", "Pm", "Pm", "Pm", "Pm", "Pm", "Pm", "Pm", "Pm", "Dy", "Dy", "Dy", "Dy", "Dy", "Dy", "Dy", "Dy", "Dy", "Dy", "Dy", "Th", "Th", "Th", "Th"], "fractional_positions": [[0.500, 0.613, 0.171], [0.500, 0.387, 0.829], [0.500, 0.171, 0.613], [0.500, 0.829, 0.387], [0.500, 0.797, 0.981], [0.500, 0.203, 0.019], [0.500, 0.981, 0.797], [0.500, 0.019, 0.203], [0.500, 0.500, 0.500], [0.000, 0.597, 0.964], [0.000, 0.403, 0.036], [0.000, 0.964, 0.597], [0.000, 0.036, 0.403], [0.000, 0.625, 0.375], [0.000, 0.375, 0.625], [0.000, 0.815, 0.185], [0.000, 0.185, 0.815], [0.000, 0.000, 0.000], [0.000, 0.780, 0.780], [0.000, 0.220, 0.220], [0.500, 0.581, 0.754], [0.500, 0.419, 0.246], [0.500, 0.754, 0.581], [0.500, 0.246, 0.419]]}

[2]
{"formula": "Pm7NdDy12", "functional": "PBE", "state": "relaxed", "spacegroup": "R-3", "e_tot_ev_per_cell": -87.64, "e_above_lowest_polymorph_mev_per_atom": 0.0, "ef_ev_per_fu": 5.61, "lattice_angstrom": [[-0.823, -7.568, -4.327], [6.930, 2.752, -4.590], [4.721, -3.380, 6.555]], "species": ["Pm", "Pm", "Pm", "Pm", "Pm", "Pm", "Pm", "Nd", "Dy", "Dy", "Dy", "Dy", "Dy", "Dy", "Dy", "Dy", "Dy", "Dy", "Dy", "Dy"], "fractional_positions": [[0.914, 0.644, 0.980], [0.356, 0.020, 0.086], [0.020, 0.086, 0.356], [0.500, 0.500, 0.500], [0.980, 0.914, 0.644], [0.644, 0.980, 0.914], [0.086, 0.356, 0.020], [0.000, 0.000, 0.000], [0.814, 0.251, 0.682], [0.749, 0.318, 0.186], [0.482, 0.147, 0.416], [0.853, 0.584, 0.518], [0.318, 0.186, 0.749], [0.584, 0.518, 0.853], [0.416, 0.482, 0.147], [0.682, 0.814, 0.251], [0.147, 0.416, 0.482], [0.518, 0.853, 0.584], [0.251, 0.682, 0.814], [0.186, 0.749, 0.318]]}

[3]
{"formula": "SrLi3H", "functional": "PBE", "state": "relaxed", "spacegroup": "Pm-3m", "e_tot_ev_per_cell": -9.92, "lattice_angstrom": [[4.898, 0.000, 0.000], [0.000, 4.898, 0.000], [0.000, 0.000, 4.898]], "species": ["Sr", "H", "Li", "Li", "Li"], "fractional_positions": [[0.500, 0.500, 0.500], [0.000, 0.000, 0.000], [0.000, 0.500, 0.000], [0.000, 0.000, 0.500], [0.500, 0.000, 0.000]]}

[4]
{"formula": "CaHo2C", "functional": "PBE", "state": "relaxed", "spacegroup": "R-3m", "e_tot_ev_per_cell": -20.87, "e_above_lowest_polymorph_mev_per_atom": 74.4, "ef_ev_per_fu": -0.49, "lattice_angstrom": [[-3.194, -0.935, 1.332], [-1.456, -3.154, -0.884], [2.828, -5.510, 7.736]], "species": ["C", "Ca", "Ho", "Ho"], "fractional_positions": [[0.500, 0.500, 0.500], [0.000, 0.000, 0.000], [0.121, 0.121, 0.637], [0.879, 0.879, 0.363]]}

[5]
{"formula": "Zn3AgAu3", "functional": "PBE", "state": "relaxed", "spacegroup": "P2_13", "e_tot_ev_per_cell": -69.93, "e_above_lowest_polymorph_mev_per_atom": 0.0, "ef_ev_per_fu": -0.98, "lattice_angstrom": [[-6.368, -1.493, -4.314], [4.477, -3.487, -5.402], [-0.891, -6.855, 3.688]], "species": ["Zn", "Zn", "Zn", "Zn", "Zn", "Zn", "Zn", "Zn", "Zn", "Zn", "Zn", "Zn", "Ag", "Ag", "Ag", "Ag", "Au", "Au", "Au", "Au", "Au", "Au", "Au", "Au", "Au", "Au", "Au", "Au"], "fractional_positions": [[0.832, 0.332, 0.168], [0.864, 0.864, 0.864], [0.829, 0.671, 0.329], [0.168, 0.832, 0.332], [0.171, 0.171, 0.171], [0.329, 0.829, 0.671], [0.136, 0.364, 0.636], [0.332, 0.168, 0.832], [0.671, 0.329, 0.829], [0.668, 0.668, 0.668], [0.636, 0.136, 0.364], [0.364, 0.636, 0.136], [0.043, 0.543, 0.957], [0.957, 0.043, 0.543], [0.457, 0.457, 0.457], [0.543, 0.957, 0.043], [0.690, 0.618, 0.023], [0.882, 0.977, 0.190], [0.023, 0.690, 0.618], [0.118, 0.477, 0.310], [0.310, 0.118, 0.477], [0.190, 0.882, 0.977], [0.977, 0.190, 0.882], [0.382, 0.523, 0.810], [0.477, 0.310, 0.118], [0.618, 0.023, 0.690], [0.810, 0.382, 0.523], [0.523, 0.810, 0.382]]}

[6]
{"formula": "PaNi4S", "functional": "PBE", "state": "relaxed", "spacegroup": "F-43m", "e_tot_ev_per_cell": -38.92, "e_form_raw_mev_per_atom": -361, "lattice_angstrom": [[4.900, 0.000, 0.000], [2.450, 4.244, 0.000], [2.450, 1.415, 4.001]], "species": ["Ni", "Ni", "Ni", "Ni", "S", "Pa"], "fractional_positions": [[0.625, 0.625, 0.126], [0.625, 0.126, 0.625], [0.625, 0.625, 0.625], [0.126, 0.625, 0.625], [0.250, 0.250, 0.250], [0.000, 0.000, 0.000]]}

[7]
{"formula": "Rb3AgBi", "functional": "PBE", "state": "relaxed", "spacegroup": "Pm-3m", "e_tot_ev_per_cell": -9.18, "e_above_lowest_polymorph_mev_per_atom": 213.9, "ef_ev_per_fu": 0.45, "lattice_angstrom": [[-4.167, -4.973, 0.869], [4.695, -3.402, 3.040], [-1.858, 2.558, 5.732]], "species": ["Rb", "Rb", "Rb", "Bi", "Ag"], "fractional_positions": [[0.000, 0.500, 0.000], [0.000, 0.000, 0.500], [0.500, 0.000, 0.000], [0.500, 0.500, 0.500], [0.000, 0.000, 0.000]]}

[8]
{"formula": "AlTc2Hg", "functional": "PBE", "state": "relaxed", "spacegroup": "Imm2", "e_tot_ev_per_cell": -23.76, "e_above_lowest_polymorph_mev_per_atom": 236.9, "ef_ev_per_fu": 1.02, "lattice_angstrom": [[5.228, 0.005, 0.011], [2.314, 4.688, -0.011], [-3.276, -3.142, 2.593]], "species": ["Al", "Hg", "Tc", "Tc"], "fractional_positions": [[0.511, 0.511, 0.000], [0.258, 0.758, 0.500], [0.987, 0.987, 0.000], [0.745, 0.245, 0.500]]}

[9]
{"formula": "Ca2AlAs", "functional": "PBE", "state": "relaxed", "spacegroup": "P4mm", "e_tot_ev_per_cell": -13.42, "e_above_lowest_polymorph_mev_per_atom": 430.3, "ef_ev_per_fu": -1.02, "lattice_angstrom": [[-1.672, 3.765, -0.886], [-1.296, -1.455, -3.736], [-5.329, -1.769, 2.538]], "species": ["As", "Ca", "Ca", "Al"], "fractional_positions": [[0.500, 0.500, 0.792], [0.000, 0.000, 0.939], [0.500, 0.500, 0.308], [0.000, 0.000, 0.461]]}

[10]
{"formula": "MgTe", "functional": "PBE", "state": "relaxed", "spacegroup": "P4_2/mnm", "e_tot_ev_per_cell": -25.76, "e_form_raw_mev_per_atom": -852, "lattice_angstrom": [[7.856, 0.000, 0.000], [0.000, 7.856, 0.000], [0.000, 0.000, 4.673]], "species": ["Mg", "Mg", "Mg", "Mg", "Te", "Te", "Te", "Te"], "fractional_positions": [[0.329, 0.671, 0.000], [0.829, 0.829, 0.500], [0.171, 0.171, 0.500], [0.671, 0.329, 0.000], [0.310, 0.310, 0.000], [0.810, 0.190, 0.500], [0.190, 0.810, 0.500], [0.690, 0.690, 0.000]]}

[11]
{"formula": "KZr2Au", "functional": "PBE", "state": "relaxed", "spacegroup": "I-42d", "e_tot_ev_per_cell": -36.71, "e_above_lowest_polymorph_mev_per_atom": 817.9, "ef_ev_per_fu": 3.11, "lattice_angstrom": [[-4.740, 0.793, 1.388], [0.742, -2.757, 4.108], [0.960, 7.581, 7.960]], "species": ["K", "K", "Au", "Au", "Zr", "Zr", "Zr", "Zr"], "fractional_positions": [[0.500, 0.500, 0.000], [0.250, 0.750, 0.500], [0.000, 0.000, 0.000], [0.750, 0.250, 0.500], [0.810, 0.125, 0.250], [0.940, 0.625, 0.250], [0.375, 0.190, 0.750], [0.875, 0.060, 0.750]]}

[12]
{"formula": "Li4Ac2InPd3", "functional": "PBE", "state": "relaxed", "spacegroup": "P-4m2", "e_tot_ev_per_cell": -38.94, "ef_ev_per_fu": -4.75, "lattice_angstrom": [[-1.767, -0.865, -3.725], [-0.540, -4.005, 1.187], [-10.776, 2.777, 4.468]], "species": ["Li", "Li", "Li", "Li", "Ac", "Ac", "In", "Pd", "Pd", "Pd"], "fractional_positions": [[0.500, 0.500, 0.000], [0.000, 0.000, 0.000], [0.500, 0.000, 0.636], [0.000, 0.500, 0.364], [0.500, 0.000, 0.242], [0.000, 0.500, 0.758], [0.500, 0.500, 0.500], [0.000, 0.000, 0.500], [0.500, 0.000, 0.855], [0.000, 0.500, 0.145]]}

[13]
{"formula": "P4RhBr", "functional": "PBE", "state": "relaxed", "spacegroup": "F-43m", "e_tot_ev_per_cell": -26.41, "e_form_raw_mev_per_atom": 709, "lattice_angstrom": [[-0.050, 3.498, 4.378], [1.300, 5.404, -0.716], [-3.985, 3.919, 0.410]], "species": ["P", "P", "P", "P", "Rh", "Br"], "fractional_positions": [[0.951, 0.350, 0.350], [0.350, 0.350, 0.951], [0.350, 0.951, 0.350], [0.350, 0.350, 0.350], [0.750, 0.750, 0.750], [0.000, 0.000, 0.000]]}

[14]
{"formula": "NdMgAlHg", "functional": "PBE", "state": "relaxed", "spacegroup": "F-43m", "e_tot_ev_per_cell": -11.68, "ef_ev_per_fu": -1.27, "lattice_angstrom": [[5.133, 0.000, 0.000], [2.567, 4.445, 0.000], [2.567, 1.482, 4.191]], "species": ["Mg", "Nd", "Hg", "Al"], "fractional_positions": [[0.750, 0.750, 0.750], [0.250, 0.250, 0.250], [0.500, 0.500, 0.500], [0.000, 0.000, 0.000]]}

[15]
{"formula": "ErAl3Ni2", "functional": "PBE", "state": "relaxed", "spacegroup": "P6/mmm", "e_tot_ev_per_cell": -93.94, "ef_ev_per_fu": -3.96, "lattice_angstrom": [[-8.491, 2.533, 1.530], [2.488, -2.654, -8.223], [-0.972, -3.828, 0.941]], "species": ["Er", "Er", "Er", "Al", "Al", "Al", "Al", "Al", "Al", "Al", "Al", "Al", "Ni", "Ni", "Ni", "Ni", "Ni", "Ni"], "fractional_positions": [[0.667, 0.333, 0.000], [0.333, 0.667, 0.000], [0.000, 0.000, 0.500], [0.500, 0.000, 0.500], [0.000, 0.500, 0.500], [0.500, 0.500, 0.500], [0.297, 0.000, 0.000], [0.297, 0.297, 0.000], [0.000, 0.703, 0.000], [0.000, 0.297, 0.000], [0.703, 0.703, 0.000], [0.703, 0.000, 0.000], [0.818, 0.636, 0.500], [0.636, 0.818, 0.500], [0.182, 0.818, 0.500], [0.182, 0.364, 0.500], [0.818, 0.182, 0.500], [0.364, 0.182, 0.500]]}

[16]
{"formula": "LaBeTeI2", "functional": "PBE", "state": "relaxed", "spacegroup": "P4/mmm", "e_tot_ev_per_cell": -15.46, "e_above_lowest_polymorph_mev_per_atom": 342.2, "e_form_raw_mev_per_atom": -113, "lattice_angstrom": [[-5.165, -2.200, -2.778], [1.217, -5.713, 2.262], [-3.362, 1.339, 5.190]], "species": ["I", "I", "Be", "Te", "La"], "fractional_positions": [[0.000, 0.500, 0.000], [0.500, 0.000, 0.000], [0.500, 0.500, 0.500], [0.000, 0.000, 0.500], [0.000, 0.000, 0.000]]}

[17]
{"formula": "CdReHg2", "functional": "PBE", "state": "relaxed", "spacegroup": "Pmmm", "e_tot_ev_per_cell": -10.95, "ef_ev_per_fu": 3.02, "lattice_angstrom": [[2.891, 0.000, 0.000], [0.000, 4.396, 0.000], [0.000, 0.000, 6.113]], "species": ["Re", "Hg", "Hg", "Cd"], "fractional_positions": [[0.500, 0.500, 0.250], [0.000, 0.000, 0.014], [0.000, 0.000, 0.486], [0.500, 0.500, 0.750]]}

[18]
{"formula": "GdLu3Tc", "functional": "PBE", "state": "relaxed", "spacegroup": "Pm-3m", "e_tot_ev_per_cell": -37.58, "ef_ev_per_fu": 0.43, "lattice_angstrom": [[-3.548, 0.307, 3.917], [-1.368, -5.044, -0.843], [3.683, -1.577, 3.460]], "species": ["Gd", "Lu", "Lu", "Lu", "Tc"], "fractional_positions": [[0.500, 0.500, 0.500], [0.000, 0.500, 0.000], [0.000, 0.000, 0.500], [0.500, 0.000, 0.000], [0.000, 0.000, 0.000]]}

[19]
{"formula": "ThCo2H6", "functional": "PBE", "state": "relaxed", "spacegroup": "P6/mmm", "e_tot_ev_per_cell": -44.97, "lattice_angstrom": [[-0.992, -4.009, -0.718], [2.615, -1.244, 3.332], [-4.252, 0.917, 0.755]], "species": ["Th", "Co", "Co", "H", "H", "H", "H", "H", "H"], "fractional_positions": [[0.000, 0.000, 0.000], [0.500, 0.333, 0.667], [0.500, 0.667, 0.333], [0.750, 0.000, 0.500], [0.750, 0.500, 0.000], [0.250, 0.000, 0.500], [0.250, 0.500, 0.500], [0.250, 0.500, 0.000], [0.750, 0.500, 0.500]]}

[20]
{"formula": "Tm4CoSn", "functional": "PBE", "state": "relaxed", "spacegroup": "C2/m", "e_tot_ev_per_cell": -62.77, "e_above_lowest_polymorph_mev_per_atom": 0.0, "ef_ev_per_fu": -2.39, "lattice_angstrom": [[-3.309, -2.745, -3.767], [0.021, -5.712, 4.144], [-4.417, 6.751, 3.320]], "species": ["Tm", "Tm", "Tm", "Tm", "Tm", "Tm", "Tm", "Tm", "Co", "Co", "Sn", "Sn"], "fractional_positions": [[0.177, 0.676, 0.351], [0.382, 0.139, 0.766], [0.000, 0.211, 0.000], [0.618, 0.373, 0.234], [0.823, 0.324, 0.649], [0.618, 0.861, 0.234], [0.000, 0.789, 0.000], [0.382, 0.627, 0.766], [0.265, 0.500, 0.000], [0.735, 0.500, 0.000], [0.805, 0.805, 0.609], [0.195, 0.195, 0.391]]}

[21]
{"formula": "Li2ZrFe", "functional": "PBE", "state": "relaxed", "spacegroup": "Pm", "e_tot_ev_per_cell": -20.10, "e_above_lowest_polymorph_mev_per_atom": 8.5, "ef_ev_per_fu": 0.73, "lattice_angstrom": [[-1.224, -2.869, -0.651], [-0.502, -0.486, 3.087], [-6.697, 2.279, 2.539]], "species": ["Fe", "Li", "Li", "Zr"], "fractional_positions": [[0.500, 0.751, 0.748], [0.000, 0.025, 0.974], [0.500, 0.285, 0.216], [0.000, 0.439, 0.561]]}

[22]
{"formula": "NpPaSnAu", "functional": "PBE", "state": "relaxed", "spacegroup": "F-43m", "e_tot_ev_per_cell": -29.12, "ef_ev_per_fu": 0.60, "lattice_angstrom": [[5.120, 0.000, 0.000], [2.560, 4.434, 0.000], [2.560, 1.478, 4.181]], "species": ["Np", "Pa", "Au", "Sn"], "fractional_positions": [[0.500, 0.500, 0.500], [0.750, 0.750, 0.750], [0.000, 0.000, 0.000], [0.250, 0.250, 0.250]]}

[23]
{"formula": "ZrSi2HgRu", "functional": "PBE", "state": "relaxed", "spacegroup": "P4/mmm", "e_tot_ev_per_cell": -20.57, "e_form_raw_mev_per_atom": 1679, "lattice_angstrom": [[4.687, 0.000, 0.000], [0.000, 5.368, 0.000], [0.000, 0.000, 4.687]], "species": ["Ru", "Si", "Si", "Hg", "Zr"], "fractional_positions": [[0.500, 0.500, 0.500], [0.000, 0.000, 0.500], [0.500, 0.000, 0.000], [0.000, 0.000, 0.000], [0.000, 0.500, 0.000]]}